# meta-GGA SCAN Mn2RePb, PBEsol geometry
# * calculated density: 13.1 g/cm³
# * space group: P4/mmm
# * V: 64.0 Å³ per cell
# * density of states at the Fermi level: 0.562 states/eV per atom
# * formation energy: 0.85 eV/f.u.
# * total magnetization: 6.665 μB per cell
data_Mn2RePb
_cell_length_a 2.932
_cell_length_b 2.932
_cell_length_c 7.446
_cell_angle_alpha 90.00
_cell_angle_beta 90.00
_cell_angle_gamma 90.00
_symmetry_space_group_name_H-M 'P 1'
_symmetry_Int_Tables_number 1
_symmetry_space_group_name_Hall 'P 1'
loop_
_atom_site_label
_atom_site_type_symbol
_atom_site_fract_x
_atom_site_fract_y
_atom_site_fract_z
_atom_site_occupancy
Mn1 Mn 0.000 0.000 0.205 1
Mn2 Mn 0.000 0.000 0.795 1
Re1 Re 0.500 0.500 0.000 1
Pb1 Pb 0.500 0.500 0.500 1

# meta-GGA SCAN Mn2RePb, PBEsol geometry
# * calculated density: 13.8 g/cm³
# * space group: Cmmm
# * V: 60.5 Å³ per cell
# * density of states at the Fermi level: 0.744 states/eV per atom
# * formation energy: 1.56 eV/f.u.
# * total magnetization: 6.528 μB per cell
data_Mn2RePb
_cell_length_a 4.617
_cell_length_b 4.617
_cell_length_c 2.960
_cell_angle_alpha 90.00
_cell_angle_beta 90.00
_cell_angle_gamma 106.59
_symmetry_space_group_name_H-M 'P 1'
_symmetry_Int_Tables_number 1
_symmetry_space_group_name_Hall 'P 1'
loop_
_atom_site_label
_atom_site_type_symbol
_atom_site_fract_x
_atom_site_fract_y
_atom_site_fract_z
_atom_site_occupancy
Mn1 Mn 0.000 0.500 0.000 1
Mn2 Mn 0.500 0.000 0.000 1
Re1 Re 0.000 0.000 0.500 1
Pb1 Pb 0.500 0.500 0.500 1

# meta-GGA SCAN MnRe2Pb, PBEsol geometry
# * calculated density: 16.2 g/cm³
# * space group: Pmm2
# * V: 65.2 Å³ per cell
# * density of states at the Fermi level: 0.583 states/eV per atom
# * formation energy: 1.86 eV/f.u.
# * total magnetization: 3.591 μB per cell
data_MnRe2Pb
_cell_length_a 2.920
_cell_length_b 3.867
_cell_length_c 5.776
_cell_angle_alpha 90.00
_cell_angle_beta 90.00
_cell_angle_gamma 90.00
_symmetry_space_group_name_H-M 'P 1'
_symmetry_Int_Tables_number 1
_symmetry_space_group_name_Hall 'P 1'
loop_
_atom_site_label
_atom_site_type_symbol
_atom_site_fract_x
_atom_site_fract_y
_atom_site_fract_z
_atom_site_occupancy
Mn1 Mn 0.000 0.000 0.000 1
Re1 Re 0.000 0.000 0.576 1
Re2 Re 0.500 0.500 0.772 1
Pb1 Pb 0.500 0.500 0.267 1

Q: The lowest formation energy belongs to which entry?
A: number 1